[1]
Below is a relaxed structure of ZrSb2P, with properties calculated at the PBE level.

Cell lengths 6.2064, 6.1605, 4.1445 Å; angles 71.02, 69.82, 39.16 degrees
Element x y z (fractional)
Sb 0.0000 0.5000 0.5000
Sb 0.5000 0.0000 0.0000
Zr 0.5000 0.5000 0.5000
P 0.0000 0.0000 0.0000

**Energy relative to the elements, uncorrected**: -0.08 eV/atom
**Symmetry**: No. 69
**Total magnetic moment**: 0.00 μB per atom


[2]
Below is a relaxed structure of Zr4SbP, with properties calculated at the PBE level.

Cell lengths 5.4985, 7.8426, 7.3342 Å; angles 114.08, 101.20, 109.75 degrees
Element x y z (fractional)
Zr 0.3556 0.9195 0.6378
Zr 0.9416 0.7973 0.1683
Zr 0.7822 0.7183 0.6378
Zr 0.7267 0.3709 0.1683
Zr 0.2733 0.6291 0.8317
Zr 0.2178 0.2817 0.3622
Zr 0.0584 0.2027 0.8317
Zr 0.6444 0.0805 0.3622
P 0.2564 0.0064 0.0128
P 0.7436 0.9936 0.9872
Sb 0.3695 0.6195 0.2391
Sb 0.6305 0.3805 0.7609

**Energy relative to the elements, uncorrected**: -0.72 eV/atom
**Symmetry**: No. 15
**Total magnetic moment**: 0.00 μB per atom
**Polymorph energy (0 for the lowest one)**: 0 meV/atom